Entry 1:
# CuPt

A relaxed CuPt crystal (GGA-PBEsol, the Alexandria database).

Output
energy of formation from the pure elements	-94	meV/atom
size of the total moment	0.0	μB/f.u.

Geometry as CIF:
```
data_CuPt
_cell_length_a 4.624
_cell_length_b 5.305
_cell_length_c 6.521
_cell_angle_alpha 90.00
_cell_angle_beta 90.81
_cell_angle_gamma 90.00
_symmetry_space_group_name_H-M 'P 1'
_symmetry_Int_Tables_number 1
loop_
_symmetry_equiv_pos_as_xyz
'x,y,z'
loop_
_atom_site_label
_atom_site_fract_x
_atom_site_fract_y
_atom_site_fract_z
_atom_site_occupancy
Cu1 0.250 0.123 0.000 1
Cu2 0.082 0.377 0.335 1
Pt1 0.575 0.132 0.332 1
Cu3 0.582 0.623 0.335 1
Pt2 0.925 0.132 0.668 1
Pt3 0.750 0.378 0.000 1
Pt4 0.250 0.622 0.000 1
Pt5 0.075 0.868 0.332 1
Cu4 0.750 0.877 0.000 1
Cu5 0.418 0.377 0.665 1
Pt6 0.425 0.868 0.668 1
Cu6 0.918 0.623 0.665 1
```



Entry 2:
# Re3TeC

A relaxed Re3TeC crystal (GGA-PBEsol, the Alexandria database).

Output
uncorrected formation energy	4101	meV/atom
size of the total moment	0.7	μB/f.u.

Geometry as CIF:
```
data_Re3TeC
_cell_length_a 4.769
_cell_length_b 4.769
_cell_length_c 4.769
_cell_angle_alpha 90.00
_cell_angle_beta 90.00
_cell_angle_gamma 90.00
_symmetry_space_group_name_H-M 'P 1'
_symmetry_Int_Tables_number 1
loop_
_symmetry_equiv_pos_as_xyz
'x,y,z'
loop_
_atom_site_label
_atom_site_fract_x
_atom_site_fract_y
_atom_site_fract_z
_atom_site_occupancy
Te1 0.000 0.000 0.000 1
Re1 0.000 0.500 0.000 1
Re2 0.500 0.000 0.000 1
C1 0.500 0.500 0.500 1
Re3 0.000 0.000 0.500 1
```



Entry 3:
# Ce4Se3O4

A relaxed Ce4Se3O4 crystal (GGA-PBEsol, the Alexandria database).

Output
uncorrected formation energy	-2720	meV/atom
size of the total moment	2.1	μB/f.u.

Geometry as CIF:
```
data_Ce4Se3O4
_cell_length_a 3.836
_cell_length_b 6.463
_cell_length_c 8.515
_cell_angle_alpha 90.00
_cell_angle_beta 90.00
_cell_angle_gamma 107.26
_symmetry_space_group_name_H-M 'P 1'
_symmetry_Int_Tables_number 1
loop_
_symmetry_equiv_pos_as_xyz
'x,y,z'
loop_
_atom_site_label
_atom_site_fract_x
_atom_site_fract_y
_atom_site_fract_z
_atom_site_occupancy
O1 0.090 0.181 0.250 1
O2 0.623 0.247 0.500 1
Se1 0.378 0.757 0.686 1
O3 0.580 0.161 0.000 1
Ce1 0.010 0.020 0.500 1
Se2 0.286 0.572 0.000 1
Ce2 0.987 0.974 0.000 1
Ce3 0.689 0.377 0.762 1
Se3 0.378 0.757 0.314 1
Ce4 0.689 0.377 0.238 1
O4 0.090 0.181 0.750 1
```



E for every record listed, in sequence, given in eV for the cell shown: -68.9 -32.7 -88.9.